Record 1
This record from Alexandria via LeMat-Bulk describes an optimized crystal structure of Tb3UC3. The functional is PBE-GGA.

a = 5.1237 Å, b = 10.0602 Å, c = 10.0631 Å
α = 90.00°, β = 90.00°, γ = 90.00°
Sites, in units of the cell vectors:
Tb 0.0000 0.1216 0.6236
Tb 0.5000 0.1236 0.3785
Tb 0.5000 0.1333 0.8668
Tb 0.0000 0.3667 0.3668
Tb 0.0000 0.3764 0.8785
Tb 0.5000 0.3784 0.1236
Tb 0.5000 0.6216 0.8764
Tb 0.0000 0.6236 0.1215
Tb 0.0000 0.6333 0.6332
Tb 0.5000 0.8667 0.1332
Tb 0.5000 0.8764 0.6215
Tb 0.0000 0.8784 0.3764
U 0.0000 0.1244 0.1244
U 0.5000 0.3756 0.6244
U 0.5000 0.6244 0.3756
U 0.0000 0.8756 0.8756
C 0.0000 0.1055 0.8945
C 0.0000 0.1220 0.3492
C 0.5000 0.1507 0.6221
C 0.0000 0.3493 0.1221
C 0.5000 0.3780 0.8492
C 0.5000 0.3945 0.3945
C 0.5000 0.6055 0.6055
C 0.5000 0.6220 0.1508
C 0.0000 0.6507 0.8779
C 0.5000 0.8493 0.3779
C 0.0000 0.8780 0.6508
C 0.0000 0.8945 0.1055

**Energy of formation from the pure elements**: -0.2107 eV/atom
**Total moment**: 0.0 μB/f.u.
**Space-group type**: P4_2/mnm

=====

Record 2
This record from Alexandria via LeMat-Bulk describes an optimized crystal structure of MnSb2P2. The functional is PBE-GGA.

a = 5.4599 Å, b = 5.4599 Å, c = 5.4611 Å
α = 60.01°, β = 60.01°, γ = 90.00°
Site moments in Bohr magnetons follow the coordinates.
Sites, in units of the cell vectors:
Sb 0.7500 0.2500 0.5000  -0.01
Sb 0.2500 0.7500 0.5000  -0.01
Mn 0.0000 0.0000 0.0000  3.84
P 0.6969 0.6969 0.6062  0.02
P 0.3031 0.3031 0.3938  0.02

**Total moment**: 4.3 μB/f.u.
**Formation energy without anion corrections**: 0.346 eV/atom
**Space-group type**: I4/mmm
**Energy above the most stable polymorph in this dataset**: 230 meV per atom

=====

Record 3
This record from Alexandria via LeMat-Bulk describes an optimized crystal structure of RbAl2AgI8. The functional is PBE-GGA.

a = 7.4748 Å, b = 7.4748 Å, c = 10.7403 Å
α = 90.00°, β = 90.00°, γ = 120.00°
Sites, in units of the cell vectors:
Rb 0.0000 0.0000 0.0000
Al 0.6667 0.3333 0.2517
Al 0.3333 0.6667 0.7483
Ag 0.0000 0.0000 0.5000
I 0.3333 0.6667 0.9864
I 0.3331 0.3229 0.3252
I 0.6771 0.0102 0.3252
I 0.6667 0.3333 0.0136
I 0.3229 0.9898 0.6748
I 0.6669 0.6771 0.6748
I 0.0102 0.3331 0.6748
I 0.9898 0.6669 0.3252

**Total moment**: 0.0 μB/f.u.
**Formation energy without anion corrections**: -0.741 eV/atom
**Space-group type**: P-3

=====

Record 4
This record from Alexandria via LeMat-Bulk describes an optimized crystal structure of NdHoSi2. The functional is PBE-GGA.

a = 4.3688 Å, b = 3.8827 Å, c = 5.7953 Å
α = 90.00°, β = 112.13°, γ = 90.00°
Sites, in units of the cell vectors:
Nd 0.7240 0.0000 0.9875
Ho 0.4444 0.5000 0.4275
Si 0.1555 0.5000 0.8496
Si 0.0070 0.0000 0.5534

**Total moment**: 0.0 μB/f.u.
**Formation energy without anion corrections**: -0.777 eV/atom
**Space-group type**: Amm2
**Energy above the most stable polymorph in this dataset**: 0 meV per atom

=====

Record 5
This record from Alexandria via LeMat-Bulk describes an optimized crystal structure of Li2BiHPd. The functional is PBE-GGA.

a = 4.2585 Å, b = 4.2585 Å, c = 3.9173 Å
α = 90.00°, β = 90.00°, γ = 90.00°
Sites, in units of the cell vectors:
H 0.0000 0.0000 0.0000
Bi 0.5000 0.5000 0.5000
Pd 0.0000 0.0000 0.5000
Li 0.0000 0.5000 0.0000
Li 0.5000 0.0000 0.0000

**Total moment**: 0.0 μB/f.u.
**Space-group type**: P4/mmm
**Energy above the most stable polymorph in this dataset**: 0 meV per atom

=====

Record 6
This record from Alexandria via LeMat-Bulk describes an optimized crystal structure of Sr2ScS. The functional is PBE-GGA.

a = 10.9857 Å, b = 10.9857 Å, c = 8.1495 Å
α = 47.62°, β = 47.62°, γ = 90.00°
Site moments in Bohr magnetons follow the coordinates.
Sites, in units of the cell vectors:
Sc 0.0000 0.0000 0.0000  0.27
Sc 0.7500 0.2500 0.5000  0.27
Sr 0.4795 0.1250 0.2500  0.05
Sr 0.2705 0.6250 0.2500  0.04
Sr 0.3750 0.5205 0.7500  0.04
Sr 0.8750 0.7295 0.7500  0.04
S 0.5000 0.5000 0.0000  -0.01
S 0.2500 0.7500 0.5000  -0.01

**Total moment**: 0.9 μB/f.u.
**Formation energy without anion corrections**: -0.611 eV/atom
**Space-group type**: I-42d

=====

Record 7
This record from Alexandria via LeMat-Bulk describes an optimized crystal structure of CaSiSe3. The functional is PBE-GGA.

a = 4.9175 Å, b = 4.9175 Å, c = 4.9175 Å
α = 90.00°, β = 90.00°, γ = 90.00°
Sites, in units of the cell vectors:
Ca 0.5000 0.5000 0.5000
Si 0.0000 0.0000 0.0000
Se 0.0000 0.5000 0.0000
Se 0.0000 0.0000 0.5000
Se 0.5000 0.0000 0.0000

**Total moment**: 0.0 μB/f.u.
**Formation energy without anion corrections**: -0.581 eV/atom
**Space-group type**: Pm-3m
**Energy above the most stable polymorph in this dataset**: 440 meV per atom

=====

Record 8
This record from Alexandria via LeMat-Bulk describes an optimized crystal structure of BaAcGaSi. The functional is PBE-GGA.

a = 4.8208 Å, b = 4.2630 Å, c = 6.6130 Å
α = 90.00°, β = 111.38°, γ = 90.00°
Sites, in units of the cell vectors:
Ba 0.1453 0.0000 0.2906
Ac 0.8663 0.5000 0.7326
Ga 0.5561 0.5000 0.1121
Si 0.4324 0.0000 0.8648

**Total moment**: 0.0 μB/f.u.
**Formation energy without anion corrections**: -0.459 eV/atom
**Space-group type**: Amm2
**Energy above the most stable polymorph in this dataset**: 0 meV per atom

=====

Final energy across the listed records, respectively: -7.761, -5.301, -2.717, -5.825, -3.661, -4.067, -4.157, -4.079 eV/atom.